(1)
A plane-wave DFT calculation with PBE was carried out for a relaxed Li2CuAg crystal.

Unit cell a=4.792 b=4.792 c=4.677 alpha=81.04 beta=81.04 gamma=34.55
Element x y z (fractional)
Li: 0.011 0.011 0.982
Li: 0.244 0.244 0.263
Cu: 0.752 0.752 0.755
Ag: 0.494 0.494 0.500

Formation enthalpy at 0 K in meV per atom: -77.6
N(E_F) in states/eV/f.u.: 1.28
SG: No. 8

(2)
A plane-wave DFT calculation with PBE was carried out for a relaxed Mg3Ga2 crystal.

Unit cell a=4.420 b=5.394 c=5.394 alpha=66.52 beta=65.81 gamma=65.81
Element x y z (fractional)
Mg: 0.802 0.698 0.698
Mg: 0.000 0.000 0.000
Mg: 0.198 0.302 0.302
Ga: 0.500 0.719 0.281
Ga: 0.500 0.281 0.719

Formation enthalpy at 0 K in meV per atom: -110.3
N(E_F) in states/eV/f.u.: 1.69
SG: No. 71

(3)
A plane-wave DFT calculation with PBE was carried out for a relaxed Ba3InRh crystal.

Unit cell a=5.957 b=8.483 c=8.127 alpha=97.82 beta=90.05 gamma=89.99
Element x y z (fractional)
In: 0.043 0.143 0.964
In: 0.042 0.729 0.347
Ba: 0.544 0.382 0.005
Ba: 0.043 0.178 0.421
Ba: 0.543 0.961 0.665
Ba: 0.543 0.903 0.141
Ba: 0.043 0.647 0.871
Ba: 0.542 0.509 0.460
Rh: 0.543 0.670 0.814
Rh: 0.044 0.422 0.188

Formation enthalpy at 0 K in meV per atom: -228.0
Offset from the most stable computed form in eV per atom: 0.012
N(E_F) in states/eV/f.u.: 4.81
SG: No. 1